Entry 1:
K2CdCu2F6 | Alexandria | PBE-GGA | optimized geometry; space group = No. 166; total energy = -3.9630 eV/atom
1.0
-2.731 -4.485 3.558
3.429 -4.904 2.104
1.550 -0.179 6.618
F K Cu Cd
6 2 2 1
Cartesian
0.933 -7.175 6.022
1.314 -2.393 6.258
3.159 -5.031 7.390
-0.912 -4.536 4.890
2.402 -4.762 4.108
-0.155 -4.806 8.173
0.711 -2.057 3.606
1.536 -7.510 8.674
1.413 -4.135 7.181
0.834 -5.433 5.100
0.000 0.000 0.000

Entry 2:
LiCdCuF6 | Alexandria | PBE-GGA | optimized geometry; space group = No. 163; total energy = -4.0435 eV/atom
1.0
-3.021 4.061 0.935
-1.845 -4.769 0.586
2.883 0.019 9.226
F Cd Cu Li
12 2 2 2
Cartesian
-1.298 -0.377 6.869
-1.663 0.985 9.245
0.491 2.587 8.568
0.711 1.421 6.237
-2.694 -2.110 4.510
-0.320 -1.674 1.503
-0.203 -3.034 3.734
-1.780 2.345 7.014
0.739 -0.170 8.497
-2.721 -0.519 2.251
-2.474 -3.276 2.179
-0.685 -0.312 3.879
0.000 0.000 0.000
1.441 0.010 4.613
-1.516 -1.821 3.009
-0.467 1.132 7.738
-0.075 -1.811 7.622
-1.908 1.122 3.126

Entry 3:
Li2CdCuF8 | Alexandria | PBE-GGA | optimized geometry; space group = No. 10; total energy = -3.9603 eV/atom
1.0
4.685 -0.073 -0.003
-0.046 4.685 -0.005
0.004 0.007 6.534
Cd F Li Cu
1 8 2 1
Cartesian
0.002 0.004 3.267
3.771 0.865 1.409
1.326 1.299 -0.002
0.872 3.755 5.118
1.508 1.481 3.265
0.869 3.750 1.407
3.135 3.139 3.262
3.317 3.321 6.529
3.774 0.869 5.119
2.323 2.312 4.946
2.321 2.308 1.581
0.000 0.000 0.000

Entry 4:
Li2CdCuF6 | Alexandria | PBE-GGA | optimized geometry; space group = No. 15; total energy = -4.2639 eV/atom
1.0
5.498 -0.336 -0.349
1.328 6.791 0.333
1.328 0.081 6.799
F Cu Li Cd
12 2 4 2
Cartesian
5.814 5.317 6.618
5.088 -0.049 1.050
4.230 1.179 4.019
6.672 2.396 5.282
2.339 1.219 0.165
4.358 2.838 1.636
3.795 3.698 5.147
6.544 4.838 3.712
1.481 4.140 1.501
3.065 6.585 5.733
3.923 5.357 2.764
1.609 1.698 3.071
5.451 4.381 2.151
2.702 2.155 4.632
2.468 2.503 1.534
5.686 4.033 5.249
5.217 1.272 2.384
2.937 5.264 4.399
5.451 0.554 5.839
2.702 5.982 0.944

Entry 5:
MgCdCuF6 | Alexandria | PBE-GGA | optimized geometry; space group = No. 163; total energy = -4.3694 eV/atom
1.0
-3.294 -1.208 -3.948
-0.132 -2.774 4.492
-6.547 6.122 3.589
Mg F Cd Cu
2 12 2 2
Cartesian
-2.823 -0.722 2.576
-7.150 2.862 1.557
-6.865 3.882 3.266
-4.630 -1.317 3.225
-7.791 4.482 0.554
-7.494 1.729 -0.068
-6.398 1.327 2.617
-5.343 3.457 0.909
-3.575 0.813 1.517
-0.963 -0.152 2.067
-9.010 2.292 2.066
-2.479 0.411 4.201
-3.108 -1.743 0.868
-2.182 -2.342 3.579
0.000 0.000 0.000
-3.274 3.061 1.795
-6.096 2.339 4.371
-3.877 -0.200 -0.237

Entry 6:
CdCuN2F | Alexandria | PBE-GGA | optimized geometry; space group = No. 123; total energy = -3.3276 eV/atom; excess energy over the best structure of this formula in the dataset = 3.494 eV/f.u.
1.0
-0.190 3.507 2.457
-3.354 -1.651 2.097
2.729 -1.876 2.888
N Cu F Cd
2 1 1 1
Cartesian
-0.095 1.753 1.229
-1.677 -0.825 1.048
-0.408 -0.010 3.721
1.364 -0.938 1.444
0.000 0.000 0.000

no.,formation energy from raw total energies (eV per atom)
1,-1.91
2,-2.03
3,-1.98
4,-2.26
5,-2.39
6,1.38